The following is a PBE calculation of a relaxed Rb2NaCdH4 crystal, from the Alexandria database.

```
Rb2NaCdH4
1.0
0.000 6.153 12.379
2.935 0.000 12.379
2.935 6.153 0.000
Rb Na Cd H
4 2 2 8
direct
0.057 0.057 0.693
0.307 0.307 0.943
0.693 0.693 0.057
0.943 0.943 0.307
0.125 0.125 0.125
0.875 0.875 0.875
0.375 0.375 0.375
0.625 0.625 0.625
0.046 0.630 0.518
0.306 0.518 0.630
0.370 0.954 0.694
0.482 0.694 0.954
0.518 0.306 0.046
0.630 0.046 0.306
0.694 0.482 0.370
0.954 0.370 0.482
```

Calculated values
magnetic moment	0.000	μB/cell
total DFT energy (no corrections)	-2.165	eV per atom
volume	223.6	Å³/f.u.
space-group type	No. 70